No. 1
# Ce2YHf PBE-GGA optimized geometry
data_Ce2YHf
_cell_length_a 4.721
_cell_length_b 4.721
_cell_length_c 4.937
_cell_angle_alpha 90.00
_cell_angle_beta 90.00
_cell_angle_gamma 90.00
_symmetry_space_group_name_H-M 'P 1'
_symmetry_Int_Tables_number 1
_symmetry_space_group_name_Hall 'P 1'
loop_
_atom_site_label
_atom_site_fract_x
_atom_site_fract_y
_atom_site_fract_z
Ce1 0.000 0.500 0.000
Ce2 0.500 0.000 0.000
Y1 0.000 0.000 0.500
Hf1 0.500 0.500 0.500
# Space group: P4/mmm
# V: 110 Å³/cell
# Total energy: -6.887 eV per atom
# Excess energy over the best structure of this formula in the dataset: 37 meV/atom
# Magnetic moment: 0.18 μB/atom
# DFT formation energy: 0.184 eV per atom

---

No. 2
# Ta4SbW PBE-GGA optimized geometry
data_Ta4SbW
_cell_length_a 5.436
_cell_length_b 5.436
_cell_length_c 5.436
_cell_angle_alpha 60.00
_cell_angle_beta 60.00
_cell_angle_gamma 60.00
_symmetry_space_group_name_H-M 'P 1'
_symmetry_Int_Tables_number 1
_symmetry_space_group_name_Hall 'P 1'
loop_
_atom_site_label
_atom_site_fract_x
_atom_site_fract_y
_atom_site_fract_z
Ta1 0.125 0.125 0.125
Ta2 0.125 0.125 0.625
Ta3 0.125 0.625 0.125
Ta4 0.625 0.125 0.125
Sb1 0.500 0.500 0.500
W1 0.750 0.750 0.750
# Space group: F-43m
# V: 114 Å³/cell
# Total energy: -10.307 eV per atom
# Magnetic moment: 0.00 μB/atom
# Formation energy (no corrections): 2.64 eV per formula unit

---

No. 3
# PmHgH PBE-GGA optimized geometry
data_PmHgH
_cell_length_a 6.021
_cell_length_b 6.021
_cell_length_c 6.021
_cell_angle_alpha 147.76
_cell_angle_beta 147.76
_cell_angle_gamma 46.24
_symmetry_space_group_name_H-M 'P 1'
_symmetry_Int_Tables_number 1
_symmetry_space_group_name_Hall 'P 1'
loop_
_atom_site_label
_atom_site_fract_x
_atom_site_fract_y
_atom_site_fract_z
Pm1 0.000 0.000 0.000
Hg1 0.288 0.288 0.000
H1 0.545 0.545 0.000
# Space group: I4mm
# V: 62 Å³/cell
# Total energy: -2.977 eV per atom
# Excess energy over the best structure of this formula in the dataset: 352 meV/atom
# Magnetic moment: 0.00 μB/atom

---

No. 4
# TcPb2 PBE-GGA optimized geometry
data_TcPb2
_cell_length_a 9.412
_cell_length_b 9.412
_cell_length_c 4.642
_cell_angle_alpha 90.00
_cell_angle_beta 90.00
_cell_angle_gamma 159.60
_symmetry_space_group_name_H-M 'P 1'
_symmetry_Int_Tables_number 1
_symmetry_space_group_name_Hall 'P 1'
loop_
_atom_site_label
_atom_site_fract_x
_atom_site_fract_y
_atom_site_fract_z
Tc1 0.063 0.937 0.750
Tc2 0.937 0.063 0.250
Pb1 0.303 0.697 0.250
Pb2 0.432 0.568 0.750
Pb3 0.568 0.432 0.250
Pb4 0.697 0.303 0.750
# Space group: Cmcm
# V: 143 Å³/cell
# Total energy: -5.426 eV per atom
# Excess energy over the best structure of this formula in the dataset: 129 meV/atom
# Magnetic moment: 0.05 μB/atom
# DFT formation energy: 0.502 eV per atom

---

No. 5
# BaBe2Co PBE-GGA optimized geometry
data_BaBe2Co
_cell_length_a 3.201
_cell_length_b 3.781
_cell_length_c 6.102
_cell_angle_alpha 90.00
_cell_angle_beta 103.21
_cell_angle_gamma 90.00
_symmetry_space_group_name_H-M 'P 1'
_symmetry_Int_Tables_number 1
_symmetry_space_group_name_Hall 'P 1'
loop_
_atom_site_label
_atom_site_fract_x
_atom_site_fract_y
_atom_site_fract_z
Ba1 0.000 0.000 0.000
Be1 0.297 0.500 0.619
Be2 0.703 0.500 0.381
Co1 0.500 0.000 0.500
# Space group: P2/m
# V: 72 Å³/cell
# Total energy: -3.613 eV per atom
# Excess energy over the best structure of this formula in the dataset: 379 meV/atom
# Magnetic moment: 0.00 μB/atom
# DFT formation energy: 0.507 eV per atom

---

No. 6
# CaB4Pt6 PBE-GGA optimized geometry
data_CaB4Pt6
_cell_length_a 6.119
_cell_length_b 6.119
_cell_length_c 5.354
_cell_angle_alpha 90.00
_cell_angle_beta 90.00
_cell_angle_gamma 120.00
_symmetry_space_group_name_H-M 'P 1'
_symmetry_Int_Tables_number 1
_symmetry_space_group_name_Hall 'P 1'
loop_
_atom_site_label
_atom_site_fract_x
_atom_site_fract_y
_atom_site_fract_z
Ca1 0.000 0.000 0.000
B1 0.333 0.667 0.567
B2 0.333 0.667 0.931
B3 0.667 0.333 0.069
B4 0.667 0.333 0.433
Pt1 0.032 0.516 0.250
Pt2 0.484 0.516 0.250
Pt3 0.484 0.968 0.250
Pt4 0.516 0.032 0.750
Pt5 0.516 0.484 0.750
Pt6 0.968 0.484 0.750
# Space group: P-3m1
# V: 174 Å³/cell
# Total energy: -6.318 eV per atom
# Magnetic moment: 0.00 μB/atom
# DFT formation energy: -0.413 eV per atom

---

Copy entry 3 word for word.
# PmHgH PBE-GGA optimized geometry
data_PmHgH
_cell_length_a 6.021
_cell_length_b 6.021
_cell_length_c 6.021
_cell_angle_alpha 147.76
_cell_angle_beta 147.76
_cell_angle_gamma 46.24
_symmetry_space_group_name_H-M 'P 1'
_symmetry_Int_Tables_number 1
_symmetry_space_group_name_Hall 'P 1'
loop_
_atom_site_label
_atom_site_fract_x
_atom_site_fract_y
_atom_site_fract_z
Pm1 0.000 0.000 0.000
Hg1 0.288 0.288 0.000
H1 0.545 0.545 0.000
# Space group: I4mm
# V: 62 Å³/cell
# Total energy: -2.977 eV per atom
# Excess energy over the best structure of this formula in the dataset: 352 meV/atom
# Magnetic moment: 0.00 μB/atom

---

Which of these has the lowest V? PmHgH

---

Which of these has the highest magnetic moment? Ce2YHf

---

Copy entry 1 word for word.
# Ce2YHf PBE-GGA optimized geometry
data_Ce2YHf
_cell_length_a 4.721
_cell_length_b 4.721
_cell_length_c 4.937
_cell_angle_alpha 90.00
_cell_angle_beta 90.00
_cell_angle_gamma 90.00
_symmetry_space_group_name_H-M 'P 1'
_symmetry_Int_Tables_number 1
_symmetry_space_group_name_Hall 'P 1'
loop_
_atom_site_label
_atom_site_fract_x
_atom_site_fract_y
_atom_site_fract_z
Ce1 0.000 0.500 0.000
Ce2 0.500 0.000 0.000
Y1 0.000 0.000 0.500
Hf1 0.500 0.500 0.500
# Space group: P4/mmm
# V: 110 Å³/cell
# Total energy: -6.887 eV per atom
# Excess energy over the best structure of this formula in the dataset: 37 meV/atom
# Magnetic moment: 0.18 μB/atom
# DFT formation energy: 0.184 eV per atom